This record from Alexandria describes a PBEsol-optimized structure of Tc2WCl. The functional is SCAN.

Values from the calculation:
Its relative energy among the computed polymorphs is 0.212 eV per atom. For the formation energy from raw total energies, the calculation gives 0.53 eV/atom.

a = 2.8183 Å, b = 3.9723 Å, c = 5.3813 Å
α = 90.00°, β = 104.34°, γ = 90.00°
Space group Pm (No. 6)
Inequivalent atoms, fractional coordinates:
Tc  0.0000  0.0000  0.0000 (multiplicity 1)
Tc  0.4011  0.5000  0.7882 (multiplicity 1)
W  0.5725  0.5000  0.2799 (multiplicity 1)
Cl  0.6552  0.0000  0.5611 (multiplicity 1)

***

This record from Alexandria describes a PBEsol-optimized structure of Tc3WCl. The functional is SCAN.

Values from the calculation:
For the formation energy from raw total energies, the calculation gives 1.33 eV/atom.

a = 4.2432 Å, b = 4.2432 Å, c = 4.2432 Å
α = 90.00°, β = 90.00°, γ = 90.00°
Space group Pm-3m (No. 221)
Inequivalent atoms, fractional coordinates:
Tc  0.0000  0.0000  0.5000 (multiplicity 3)
W  0.5000  0.5000  0.5000 (multiplicity 1)
Cl  0.0000  0.0000  0.0000 (multiplicity 1)

***

This record from Alexandria describes a PBEsol-optimized structure of TcWCl. The functional is SCAN.

Values from the calculation:
Its relative energy among the computed polymorphs is 0.245 eV per atom. For the formation energy from raw total energies, the calculation gives 0.91 eV/atom.

a = 2.8723 Å, b = 4.0424 Å, c = 7.6277 Å
α = 90.00°, β = 90.00°, γ = 90.00°
Space group Imm2 (No. 44)
Inequivalent atoms, fractional coordinates:
Tc  0.0000  0.0000  0.0000 (multiplicity 2)
W  0.0000  0.0000  0.3388 (multiplicity 2)
Cl  0.0000  0.0000  0.6634 (multiplicity 2)

***

This record from Alexandria describes a PBEsol-optimized structure of TcWCl2. The functional is SCAN.

Values from the calculation:
Its relative energy among the computed polymorphs is 0.000 eV per atom. For the formation energy from raw total energies, the calculation gives 0.37 eV/atom.

a = 2.9584 Å, b = 4.2827 Å, c = 13.1664 Å
α = 90.00°, β = 90.00°, γ = 90.00°
Space group Immm (No. 71)
Inequivalent atoms, fractional coordinates:
Tc  0.0000  0.0000  0.0000 (multiplicity 2)
W  0.0000  0.0000  0.5000 (multiplicity 2)
Cl  0.0000  0.5000  0.1497 (multiplicity 4)

***

This record from Alexandria describes a PBEsol-optimized structure of Tc2WCl. The functional is SCAN.

Values from the calculation:
Its relative energy among the computed polymorphs is 0.000 eV per atom. For the formation energy from raw total energies, the calculation gives 0.32 eV/atom.

a = 2.8552 Å, b = 2.8552 Å, c = 24.9440 Å
α = 90.00°, β = 90.00°, γ = 120.00°
Space group R-3m (No. 166, hexagonal axes)
Inequivalent atoms, fractional coordinates:
Tc  0.0000  0.0000  0.2486 (multiplicity 6)
W  0.0000  0.0000  0.0000 (multiplicity 3)
Cl  0.0000  0.0000  0.5000 (multiplicity 3)

***

This record from Alexandria describes a PBEsol-optimized structure of TcWCl2. The functional is SCAN.

Values from the calculation:
Its relative energy among the computed polymorphs is 0.083 eV per atom. For the formation energy from raw total energies, the calculation gives 0.45 eV/atom.

a = 2.9494 Å, b = 3.8370 Å, c = 5.9054 Å
α = 90.00°, β = 90.00°, γ = 90.00°
Space group Pmm2 (No. 25)
Inequivalent atoms, fractional coordinates:
Tc  0.0000  0.0000  0.0000 (multiplicity 1)
W  0.5000  0.5000  0.1888 (multiplicity 1)
Cl  0.0000  0.0000  0.3971 (multiplicity 1)
Cl  0.5000  0.5000  0.7869 (multiplicity 1)

***

This record from Alexandria describes a PBEsol-optimized structure of TcWCl. The functional is SCAN.

Values from the calculation:
Its relative energy among the computed polymorphs is 0.000 eV per atom. For the formation energy from raw total energies, the calculation gives 0.66 eV/atom.

a = 4.1429 Å, b = 4.1429 Å, c = 2.9003 Å
α = 90.00°, β = 90.00°, γ = 120.00°
Space group P3m1 (No. 156)
Inequivalent atoms, fractional coordinates:
Tc  0.0000  0.0000  0.0000 (multiplicity 1)
W  0.6667  0.3333  0.5300 (multiplicity 1)
Cl  0.3333  0.6667  0.7115 (multiplicity 1)

***

This record from Alexandria describes a PBEsol-optimized structure of Tc2WCl. The functional is SCAN.

Values from the calculation:
Its relative energy among the computed polymorphs is 0.120 eV per atom. For the formation energy from raw total energies, the calculation gives 0.44 eV/atom.

a = 3.0614 Å, b = 4.7001 Å, c = 8.4110 Å
α = 90.00°, β = 90.00°, γ = 90.00°
Space group Cmmm (No. 65)
Inequivalent atoms, fractional coordinates:
Tc  0.0000  0.0000  0.2443 (multiplicity 4)
W  0.0000  0.5000  0.0000 (multiplicity 2)
Cl  0.0000  0.5000  0.5000 (multiplicity 2)

***

This record from Alexandria describes a PBEsol-optimized structure of YTc2Cl2. The functional is SCAN.

Values from the calculation:
For the formation energy from raw total energies, the calculation gives 0.33 eV/atom.

a = 4.0346 Å, b = 4.0346 Å, c = 10.4276 Å
α = 90.00°, β = 90.00°, γ = 90.00°
Space group I4/mmm (No. 139)
Inequivalent atoms, fractional coordinates:
Y  0.0000  0.0000  0.0000 (multiplicity 2)
Tc  0.0000  0.5000  0.2500 (multiplicity 4)
Cl  0.0000  0.0000  0.3659 (multiplicity 4)

***

This record from Alexandria describes a PBEsol-optimized structure of YTcCl2. The functional is SCAN.

Values from the calculation:
For the formation energy from raw total energies, the calculation gives -0.74 eV/atom.

a = 3.4517 Å, b = 3.4517 Å, c = 25.6048 Å
α = 90.00°, β = 90.00°, γ = 120.00°
Space group R3m (No. 160, hexagonal axes)
Inequivalent atoms, fractional coordinates:
Y  0.0000  0.0000  0.0000 (multiplicity 3)
Tc  0.0000  0.0000  0.2434 (multiplicity 3)
Cl  0.0000  0.0000  0.5284 (multiplicity 3)
Cl  0.0000  0.0000  0.7377 (multiplicity 3)

***

This record from Alexandria describes a PBEsol-optimized structure of Y2TcCl. The functional is SCAN.

Values from the calculation:
Its relative energy among the computed polymorphs is 0.000 eV per atom. For the formation energy from raw total energies, the calculation gives -0.88 eV/atom.

a = 3.4484 Å, b = 3.3786 Å, c = 7.8580 Å
α = 90.00°, β = 90.96°, γ = 90.00°
Space group P2/m (No. 10)
Inequivalent atoms, fractional coordinates:
Y  0.0205  0.0000  0.2934 (multiplicity 2)
Tc  0.5000  0.5000  0.5000 (multiplicity 1)
Cl  0.0000  0.5000  0.0000 (multiplicity 1)

***

This record from Alexandria describes a PBEsol-optimized structure of Y2TcCl. The functional is SCAN.

Values from the calculation:
Its relative energy among the computed polymorphs is 0.072 eV per atom. For the formation energy from raw total energies, the calculation gives -0.80 eV/atom.

a = 3.3587 Å, b = 3.3587 Å, c = 7.6254 Å
α = 90.00°, β = 90.00°, γ = 90.00°
Space group P4/mmm (No. 123)
Inequivalent atoms, fractional coordinates:
Y  0.0000  0.0000  0.2135 (multiplicity 2)
Tc  0.5000  0.5000  0.0000 (multiplicity 1)
Cl  0.5000  0.5000  0.5000 (multiplicity 1)